VASP calculation (PBEsol) on SrHfInAs2 after structural relaxation.

## Properties
E_form   0.969 eV per atom

The structure in POSCAR format:
```
SrHfInAs2
1.0
5.179 0.000 0.000
0.000 5.179 0.000
0.000 0.000 5.567
Sr Hf In As
1 1 1 2
Cartesian
0.000 0.000 0.000
2.590 2.590 0.000
0.000 0.000 2.784
0.000 2.590 2.784
2.590 0.000 2.784
```



VASP calculation (PBEsol) on HfAs3Ir after structural relaxation.

## Properties
E_form   0.635 eV per atom

The structure in POSCAR format:
```
HfAs3Ir
1.0
4.749 0.000 0.000
0.000 4.749 0.000
0.000 0.000 4.749
Hf As Ir
1 3 1
Cartesian
0.000 0.000 0.000
0.000 2.374 2.374
2.374 0.000 2.374
2.374 2.374 0.000
2.374 2.374 2.374
```



VASP calculation (PBEsol) on NaHfAsIr2 after structural relaxation.

## Properties
E_form   0.706 eV per atom

The structure in POSCAR format:
```
NaHfAsIr2
1.0
4.603 0.000 0.000
0.000 4.603 0.000
0.000 0.000 4.865
Na Hf As Ir
1 1 1 2
Cartesian
0.000 0.000 0.000
2.301 2.301 0.000
2.301 2.301 2.433
0.000 2.301 2.433
2.301 0.000 2.433
```